# 1
Compound: LiNiTe2AuSe
Source: OQMD via LeMat-Bulk
Functional: PBE
Structure: relaxed

Cell lengths 6.8092, 6.8092, 10.4633 Å; angles 90.00, 90.00, 147.86 degrees
With the nearest neighbours (Å) after each atom.
Sites, in units of the cell vectors:
Te 0.8681 0.1319 0.4995  2 Ni 2.56, 1 Au 2.61, 1 Li 2.86
Se 0.5572 0.4428 0.2500  2 Ni 2.72, 2 Li 2.83
Te 0.8681 0.1319 0.0005  2 Ni 2.56, 1 Au 2.61, 1 Li 2.86
Li 0.2186 0.7814 0.2500  2 Au 2.73, 2 Se 2.83, 2 Te 2.86
Se 0.4428 0.5572 0.7500  2 Ni 2.72, 2 Li 2.83
Au 0.1303 0.8697 0.7500  2 Te 2.61, 2 Li 2.73
Ni 0.5000 0.5000 0.5000  4 Te 2.56, 2 Se 2.72
Au 0.8697 0.1303 0.2500  2 Te 2.61, 2 Li 2.73
Te 0.1319 0.8681 0.9995  2 Ni 2.56, 1 Au 2.61, 1 Li 2.86
Li 0.7814 0.2186 0.7500  2 Au 2.73, 2 Se 2.83, 2 Te 2.86
Te 0.1319 0.8681 0.5005  2 Ni 2.56, 1 Au 2.61, 1 Li 2.86
Ni 0.5000 0.5000 0.0000  4 Te 2.56, 2 Se 2.72

E, eV per atom: -3.6570
Symmetry: No. 63


# 2
Compound: LiSiNiAu
Source: OQMD via LeMat-Bulk
Functional: PBE
Structure: relaxed

Cell lengths 4.1762, 4.1762, 4.1762 Å; angles 60.00, 60.00, 60.00 degrees
With the nearest neighbours (Å) after each atom.
Sites, in units of the cell vectors:
Au 0.0000 0.0000 0.0000  4 Li 2.56, 4 Si 2.56
Si 0.2500 0.2500 0.2500  4 Ni 2.56, 4 Au 2.56
Ni 0.5000 0.5000 0.5000  4 Si 2.56, 4 Li 2.56
Li 0.7500 0.7500 0.7500  4 Ni 2.56, 4 Au 2.56

Relative energy among the computed polymorphs, meV/atom: 0.0
E, eV per atom: -4.3708
Symmetry: No. 216


Which value of E does entry 1 give?
-3.6570 eV per atom


Copy entry 2 word for word.
Compound: LiSiNiAu
Source: OQMD via LeMat-Bulk
Functional: PBE
Structure: relaxed

Cell lengths 4.1762, 4.1762, 4.1762 Å; angles 60.00, 60.00, 60.00 degrees
With the nearest neighbours (Å) after each atom.
Sites, in units of the cell vectors:
Au 0.0000 0.0000 0.0000  4 Li 2.56, 4 Si 2.56
Si 0.2500 0.2500 0.2500  4 Ni 2.56, 4 Au 2.56
Ni 0.5000 0.5000 0.5000  4 Si 2.56, 4 Li 2.56
Li 0.7500 0.7500 0.7500  4 Ni 2.56, 4 Au 2.56

Relative energy among the computed polymorphs, meV/atom: 0.0
E, eV per atom: -4.3708
Symmetry: No. 216


Which formula does entry 1 have?
LiNiTe2AuSe


Which of these has the highest E?
LiNiTe2AuSe